## Mn2Sn2O7 (PBE with a Hubbard U)

Data for crystalline Mn2Sn2O7 at its relaxed geometry.

Computed properties:
- energy (eV/atom) = -6.49
- volume (Å³/f.u.) = 118
- density (g/cm3) = 6.445

Unit cell a=9.819 b=9.819 c=9.819 alpha=90.00 beta=90.00 gamma=90.00
Space group Fd-3m (No. 227, origin choice 2)
Asymmetric unit:
1 Mn 0.000 0.000 0.000
2 Sn 0.000 0.000 0.500
3 O 0.094 0.375 0.375
4 O 0.125 0.125 0.625